Entry 1:
This record from Alexandria describes a geometry-optimized Nd2DyLu structure. The functional is PBE.

energy relative to the lowest polymorph listed for this composition = 0.2 kJ/mol of atoms

The structure in POSCAR format:
```
Nd2DyLu
1.0
5.0066 0.0000 0.0000
0.0000 5.1065 0.0000
0.0000 0.0000 5.1065
Dy Nd Lu
1 2 1
direct
0.5000 0.5000 0.5000 Dy
0.0000 0.0000 0.5000 Nd
0.0000 0.5000 0.0000 Nd
0.5000 0.0000 0.0000 Lu
```

Entry 2:
This record from Alexandria describes a geometry-optimized Pm2Dy6Tm3Pb structure. The functional is PBE.

The structure in POSCAR format:
```
Pm2Dy6Tm3Pb
1.0
-5.5222 1.8306 -1.7629
0.6148 -5.0705 3.2964
0.5914 7.2584 9.1835
Tm Dy Pm Pb
3 6 2 1
direct
0.5000 0.5000 0.5000 Tm
0.1674 0.8326 0.5000 Tm
0.8326 0.1674 0.5000 Tm
0.9165 0.5889 0.7478 Dy
0.4111 0.0835 0.2522 Dy
0.5889 0.9165 0.7478 Dy
0.2437 0.2437 0.7467 Dy
0.0835 0.4111 0.2522 Dy
0.7563 0.7563 0.2533 Dy
0.3339 0.6661 0.0000 Pm
0.6661 0.3339 0.0000 Pm
0.0000 0.0000 0.0000 Pb
```

Entry 3:
This record from Alexandria describes a geometry-optimized Rb4La3DySe8 structure. The functional is PBE.

ΔE_f (raw) = -2766 kJ/mol of formula units

The structure in POSCAR format:
```
Rb4La3DySe8
1.0
-1.9828 8.4866 1.4114
-7.1763 -0.6503 -6.1713
0.1388 -5.6832 6.7542
Se La Dy Rb
8 3 1 4
direct
0.7434 0.6988 0.9711 Se
0.7723 0.3012 0.0289 Se
0.7722 0.3012 0.5445 Se
0.7344 0.7031 0.4688 Se
0.2278 0.6988 0.4555 Se
0.2566 0.3012 0.0289 Se
0.2656 0.2969 0.5312 Se
0.2277 0.6988 0.9711 Se
0.5000 0.5000 0.0000 La
0.5000 0.5000 0.5000 La
0.0000 0.5000 0.5000 La
0.0000 0.5000 0.0000 Dy
0.5000 0.0000 0.0000 Rb
0.0000 0.0000 0.0000 Rb
0.0000 0.0000 0.5000 Rb
0.5000 0.0000 0.5000 Rb
```

Entry 4:
This record from Alexandria describes a geometry-optimized Ac4LaPb4 structure. The functional is PBE.

The structure in POSCAR format:
```
Ac4LaPb4
1.0
-0.4691 -5.2630 4.4338
6.1735 -5.5906 -5.9829
8.1587 3.5615 5.0906
Ac Pb La
8 8 2
direct
0.3826 0.2828 0.9197 Ac
0.1174 0.7828 0.4197 Ac
0.6174 0.0803 0.2828 Ac
0.3826 0.7172 0.0803 Ac
0.8826 0.5803 0.7828 Ac
0.1174 0.2172 0.5803 Ac
0.8826 0.4197 0.2172 Ac
0.6174 0.9197 0.7172 Ac
0.6283 0.7758 0.3964 Pb
0.8717 0.2758 0.8964 Pb
0.1283 0.8964 0.7242 Pb
0.3717 0.6036 0.7758 Pb
0.8717 0.7242 0.1036 Pb
0.3717 0.3964 0.2242 Pb
0.6283 0.2242 0.6036 Pb
0.1283 0.1036 0.2758 Pb
0.5000 0.5000 0.5000 La
0.0000 0.0000 0.0000 La
```

Entry 5:
This record from Alexandria describes a geometry-optimized Ac2H2Ir structure. The functional is PBE.

The structure in POSCAR format:
```
Ac2H2Ir
1.0
4.2252 0.0000 -0.7669
-0.3902 7.1161 -2.1500
-0.7217 -1.5005 8.0466
H Ac Ir
4 4 2
direct
0.9435 0.1098 0.8871 H
0.4435 0.6098 0.8870 H
0.0565 0.8902 0.1129 H
0.5565 0.3902 0.1130 H
0.6282 0.7952 0.2564 Ac
0.3718 0.2048 0.7436 Ac
0.1283 0.2952 0.2566 Ac
0.8717 0.7048 0.7434 Ac
0.2500 0.7500 0.5000 Ir
0.7500 0.2500 0.5000 Ir
```

Entry 6:
This record from Alexandria describes a geometry-optimized Hf5ZrSc structure. The functional is PBE.

The structure in POSCAR format:
```
Hf5ZrSc
1.0
-2.8968 -2.3746 -4.7461
7.0349 -2.6997 -0.9010
-1.8891 -4.7775 5.5854
Sc Hf Zr
2 10 2
direct
0.7500 0.3494 0.1506 Sc
0.2500 0.6506 0.8494 Sc
0.9694 0.8395 0.6024 Hf
0.5306 0.8976 0.6605 Hf
0.2500 0.3860 0.1140 Hf
0.7500 0.6140 0.8860 Hf
0.0306 0.1605 0.3976 Hf
0.3658 0.2219 0.7828 Hf
0.4694 0.1024 0.3395 Hf
0.6342 0.7781 0.2172 Hf
0.1342 0.7172 0.2781 Hf
0.8658 0.2828 0.7219 Hf
0.0000 0.0000 0.0000 Zr
0.5000 0.5000 0.5000 Zr
```

Number 1: uncorrected energy -0.3414 Ry per atom, N(E_F) 1.475 states/eV/atom. Number 2: uncorrected energy -0.3367 Ry per atom, N(E_F) 1.166 states/eV/atom. Number 3: uncorrected energy -0.3665 Ry per atom, N(E_F) 0.000 states/eV/atom. Number 4: uncorrected energy -0.3205 Ry per atom, N(E_F) 0.882 states/eV/atom. Number 5: uncorrected energy -0.3884 Ry per atom, N(E_F) 0.483 states/eV/atom. Number 6: uncorrected energy -0.6611 Ry per atom, N(E_F) 1.349 states/eV/atom.